# 1
VASP calculation (PBE) on a relaxed structure of AlCdFeTe4.

abc: 8.2879 8.2879 11.1486
angles: 90.00 90.00 90.00
Closest atoms and distances in Å follow each position.
Element x y z (fractional)
Te 0.0197 0.2804 0.2335  1 Fe 2.66, 1 Al 2.68, 1 Cd 2.91
Te 0.4678 0.2741 0.2691  2 Fe 2.59-2.60, 1 Al 2.71
Fe 0.5000 0.2524 0.5000  6 Te 2.59-2.66
Te 0.7259 0.4678 0.5191  2 Fe 2.59-2.60, 1 Al 2.71
Te 0.5322 0.2741 0.7309  2 Fe 2.59-2.60, 1 Al 2.71
Te 0.9803 0.7196 0.7335  1 Fe 2.66, 1 Al 2.68, 1 Cd 2.91
Fe 0.2524 0.5000 0.2500  6 Te 2.59-2.66
Cd 0.7697 0.0000 0.7500  6 Te 2.91-3.01
Te 0.4678 0.7259 0.2309  2 Fe 2.59-2.60, 1 Al 2.71
Al 0.2691 0.2691 0.8750  4 Te 2.68-2.71
Te 0.7259 0.5322 0.9809  2 Fe 2.59-2.60, 1 Al 2.71
Te 0.2741 0.4678 0.4809  2 Fe 2.59-2.60, 1 Al 2.71
Te 0.7196 0.9803 0.0165  1 Fe 2.66, 1 Al 2.68, 1 Cd 2.91
Cd 0.2303 0.0000 0.2500  6 Te 2.91-3.01
Al 0.7309 0.2691 0.1250  4 Te 2.68-2.71
Te 0.2804 0.9803 0.9835  1 Fe 2.66, 1 Al 2.68, 1 Cd 2.91
Al 0.2691 0.7309 0.6250  4 Te 2.68-2.71
Te 0.5322 0.7259 0.7691  2 Fe 2.59-2.60, 1 Al 2.71
Cd 0.0000 0.2303 0.5000  6 Te 2.91-3.01
Te 0.0197 0.7196 0.2665  1 Fe 2.66, 1 Al 2.68, 1 Cd 2.91
Te 0.9803 0.2804 0.7665  1 Fe 2.66, 1 Al 2.68, 1 Cd 2.91
Te 0.2741 0.5322 0.0191  2 Fe 2.59-2.60, 1 Al 2.71
Al 0.7309 0.7309 0.3750  4 Te 2.68-2.71
Te 0.7196 0.0197 0.4835  1 Fe 2.66, 1 Al 2.68, 1 Cd 2.91
Te 0.2804 0.0197 0.5165  1 Fe 2.66, 1 Al 2.68, 1 Cd 2.91
Cd 0.0000 0.7697 0.0000  6 Te 2.91-3.01
Fe 0.5000 0.7476 0.0000  6 Te 2.59-2.66
Fe 0.7476 0.5000 0.7500  6 Te 2.59-2.66

***

# 2
VASP calculation (PBE) on a relaxed structure of AlCdFeTe4.

abc: 8.2823 8.2823 11.6475
angles: 90.00 90.00 90.00
Closest atoms and distances in Å follow each position.
Element x y z (fractional)
Te 0.0068 0.7636 0.7422  1 Fe 2.58, 2 Al 2.83
Al 0.2528 0.0000 0.7500  6 Te 2.81-2.83
Al 0.0000 0.2528 0.0000  6 Te 2.81-2.83
Te 0.7636 0.9932 0.4922  1 Fe 2.58, 2 Al 2.83
Te 0.7628 0.4950 0.9921  1 Fe 2.56, 1 Al 2.81
Te 0.4950 0.2372 0.7421  1 Fe 2.56, 1 Al 2.81
Te 0.2364 0.9932 0.5078  1 Fe 2.58, 2 Al 2.83
Al 0.7472 0.0000 0.2500  6 Te 2.81-2.83
Cd 0.7488 0.5000 0.2500  6 Te 2.97-3.01
Te 0.4950 0.7628 0.7579  1 Fe 2.56, 1 Al 2.81
Al 0.0000 0.7472 0.5000  6 Te 2.81-2.83
Te 0.7628 0.5050 0.5079  1 Fe 2.56, 1 Al 2.81
Te 0.2364 0.0068 0.9922  1 Fe 2.58, 2 Al 2.83
Te 0.7636 0.0068 0.0078  1 Fe 2.58, 2 Al 2.83
Te 0.0068 0.2364 0.7578  1 Fe 2.58, 2 Al 2.83
Fe 0.7569 0.7569 0.8750  4 Te 2.56-2.58
Te 0.5050 0.2372 0.2579  1 Fe 2.56, 1 Al 2.81
Te 0.9932 0.7636 0.2578  1 Fe 2.58, 2 Al 2.83
Fe 0.2431 0.2431 0.3750  4 Te 2.56-2.58
Fe 0.2431 0.7569 0.1250  4 Te 2.56-2.58
Fe 0.7569 0.2431 0.6250  4 Te 2.56-2.58
Cd 0.5000 0.2512 0.0000  6 Te 2.97-3.01
Cd 0.2512 0.5000 0.7500  6 Te 2.97-3.01
Cd 0.5000 0.7488 0.5000  6 Te 2.97-3.01
Te 0.5050 0.7628 0.2421  1 Fe 2.56, 1 Al 2.81
Te 0.2372 0.5050 0.4921  1 Fe 2.56, 1 Al 2.81
Te 0.9932 0.2364 0.2422  1 Fe 2.58, 2 Al 2.83
Te 0.2372 0.4950 0.0079  1 Fe 2.56, 1 Al 2.81

***

# 3
VASP calculation (PBE) on a relaxed structure of AlCdFeTe4.

abc: 8.1879 8.1879 11.4951
angles: 90.00 90.00 90.00
Closest atoms and distances in Å follow each position.
Element x y z (fractional)
Te 0.2344 0.4635 0.4950  1 Fe 2.62, 2 Al 2.80-2.83, 1 Cd 2.82
Fe 0.7543 0.0000 0.7500  6 Te 2.62
Te 0.4635 0.2344 0.2550  1 Fe 2.62, 2 Al 2.80-2.83, 1 Cd 2.82
Te 0.9707 0.2335 0.7265  2 Fe 2.62, 1 Cd 2.82, 1 Al 2.84
Te 0.7665 0.9707 0.9765  2 Fe 2.62, 1 Cd 2.82, 1 Al 2.84
Te 0.0293 0.7665 0.2265  2 Fe 2.62, 1 Cd 2.82, 1 Al 2.84
Te 0.2335 0.0293 0.4765  2 Fe 2.62, 1 Cd 2.82, 1 Al 2.84
Te 0.0293 0.2335 0.2735  2 Fe 2.62, 1 Cd 2.82, 1 Al 2.84
Cd 0.2445 0.7555 0.6250  4 Te 2.82
Fe 0.0000 0.7543 0.0000  6 Te 2.62
Al 0.5000 0.7519 0.0000  6 Te 2.80-2.84
Te 0.5365 0.7656 0.7550  1 Fe 2.62, 2 Al 2.80-2.83, 1 Cd 2.82
Fe 0.0000 0.2457 0.5000  6 Te 2.62
Te 0.7665 0.0293 0.5235  2 Fe 2.62, 1 Cd 2.82, 1 Al 2.84
Te 0.7656 0.4635 0.5050  1 Fe 2.62, 2 Al 2.80-2.83, 1 Cd 2.82
Te 0.2335 0.9707 0.0235  2 Fe 2.62, 1 Cd 2.82, 1 Al 2.84
Fe 0.2457 0.0000 0.2500  6 Te 2.62
Cd 0.7555 0.2445 0.1250  4 Te 2.82
Te 0.9707 0.7665 0.7735  2 Fe 2.62, 1 Cd 2.82, 1 Al 2.84
Al 0.7519 0.5000 0.7500  6 Te 2.80-2.84
Te 0.4635 0.7656 0.2450  1 Fe 2.62, 2 Al 2.80-2.83, 1 Cd 2.82
Te 0.5365 0.2344 0.7450  1 Fe 2.62, 2 Al 2.80-2.83, 1 Cd 2.82
Al 0.5000 0.2481 0.5000  6 Te 2.80-2.84
Te 0.2344 0.5365 0.0050  1 Fe 2.62, 2 Al 2.80-2.83, 1 Cd 2.82
Cd 0.7555 0.7555 0.3750  4 Te 2.82
Cd 0.2445 0.2445 0.8750  4 Te 2.82
Al 0.2481 0.5000 0.2500  6 Te 2.80-2.84
Te 0.7656 0.5365 0.9950  1 Fe 2.62, 2 Al 2.80-2.83, 1 Cd 2.82

***

# 4
VASP calculation (PBE) on a relaxed structure of AlCdFeW.

abc: 4.4163 4.4163 4.4163
angles: 60.00 60.00 60.00
Closest atoms and distances in Å follow each position.
Element x y z (fractional)
Fe 0.7500 0.7500 0.7500  4 W 2.70, 4 Al 2.70
Cd 0.2500 0.2500 0.2500  4 W 2.70, 4 Al 2.70
W 0.5000 0.5000 0.5000  4 Cd 2.70, 4 Fe 2.70
Al 0.0000 0.0000 0.0000  4 Cd 2.70, 4 Fe 2.70

***

# 5
VASP calculation (PBE) on a relaxed structure of AlCdGa2.

abc: 4.8208 4.8208 4.8208
angles: 60.00 60.00 60.00
Closest atoms and distances in Å follow each position.
Element x y z (fractional)
Ga 0.0000 0.0000 0.0000  4 Ga 2.95, 4 Cd 2.95
Ga 0.7500 0.7500 0.7500  4 Al 2.95, 4 Ga 2.95
Cd 0.2500 0.2500 0.2500  4 Al 2.95, 4 Ga 2.95
Al 0.5000 0.5000 0.5000  4 Cd 2.95, 4 Ga 2.95

***

# 6
VASP calculation (PBE) on a relaxed structure of AlCdGa.

abc: 4.4866 4.4866 4.4866
angles: 60.00 60.00 60.00
Closest atoms and distances in Å follow each position.
Element x y z (fractional)
Ga 0.0000 0.0000 0.0000  4 Al 2.75, 4 Cd 2.75
Cd 0.7500 0.7500 0.7500  4 Ga 2.75
Al 0.2500 0.2500 0.2500  4 Ga 2.75

***

# 7
VASP calculation (PBE) on a relaxed structure of Al2CdGa2.

abc: 4.1844 4.1844 6.3520
angles: 109.23 109.23 90.00
Closest atoms and distances in Å follow each position.
Element x y z (fractional)
Al 0.7500 0.2500 0.5000  4 Ga 2.63
Cd 0.0000 0.0000 0.0000  8 Ga 3.20, 8 Al 3.50
Ga 0.6085 0.6085 0.2169  1 Ga 2.44, 4 Al 2.63
Ga 0.3915 0.3915 0.7831  1 Ga 2.44, 4 Al 2.63
Al 0.2500 0.7500 0.5000  4 Ga 2.63

***

# 8
VASP calculation (PBE) on a relaxed structure of AlCdGa.

abc: 4.5383 4.5383 4.5383
angles: 60.00 60.00 60.00
Closest atoms and distances in Å follow each position.
Element x y z (fractional)
Ga 0.7500 0.7500 0.7500  4 Cd 2.78
Cd 0.0000 0.0000 0.0000  4 Ga 2.78, 4 Al 2.78
Al 0.2500 0.2500 0.2500  4 Cd 2.78

***

Number 1: mass density 6.12 Mg/m³, calculated total energy -3.794 eV/atom. Number 2: mass density 5.87 Mg/m³, calculated total energy -3.773 eV/atom. Number 3: mass density 6.08 Mg/m³, calculated total energy -3.867 eV/atom. Number 4: mass density 10.33 Mg/m³, calculated total energy -5.995 eV/atom. Number 5: mass density 5.84 Mg/m³, calculated total energy -2.545 eV/atom. Number 6: mass density 5.44 Mg/m³, calculated total energy -2.451 eV/atom. Number 7: mass density 5.16 Mg/m³, calculated total energy -2.815 eV/atom. Number 8: mass density 5.25 Mg/m³, calculated total energy -2.350 eV/atom.